#A
The following is a GGA-PBE calculation of an optimized crystal structure of YAg2Pt, from Alexandria via LeMat-Bulk.

Geometry as POSCAR:
```
YAg2Pt
1.0
9.976 -0.009 -0.005
9.516 2.994 -0.005
9.516 1.458 2.616
Y Ag Pt
1 2 1
Direct
0.750 0.750 0.750
0.994 0.994 0.994
0.506 0.506 0.506
0.250 0.250 0.250
```

Values from the calculation:
**DOS(E_F)**: 0.557 states/eV per atom

=====

#B
The following is a GGA-PBE calculation of an optimized crystal structure of YAg2Pt, from Alexandria via LeMat-Bulk.

Geometry as POSCAR:
```
YAg2Pt
1.0
4.065 0.000 0.000
0.000 4.052 0.000
0.000 0.000 4.816
Pt Ag Y
1 2 1
Direct
0.500 0.000 0.500
0.000 0.000 0.000
0.500 0.500 0.000
0.000 0.500 0.500
```

Values from the calculation:
**DOS(E_F)**: 0.510 states/eV per atom

=====

#C
The following is a GGA-PBE calculation of an optimized crystal structure of YAg2Pt, from Alexandria via LeMat-Bulk.

Geometry as POSCAR:
```
YAg2Pt
1.0
3.612 0.000 0.000
0.000 3.695 0.019
0.000 3.664 6.011
Pt Ag Y
1 2 1
Direct
0.000 0.495 0.504
0.000 0.972 0.028
0.500 0.260 0.240
0.500 0.772 0.728
```

Values from the calculation:
**DOS(E_F)**: 0.259 states/eV per atom

=====

Which of them is most stable? Easy: #C.

=====

#A
The following is a GGA-PBE calculation of an optimized crystal structure of YAg3Pt, from Alexandria via LeMat-Bulk.

Geometry as POSCAR:
```
YAg3Pt
1.0
5.051 0.000 0.000
0.000 5.051 0.000
0.000 0.000 5.051
Y Ag Pt
1 3 1
Direct
0.500 0.500 0.500
0.000 0.000 0.500
0.500 0.000 0.000
0.000 0.500 0.000
0.000 0.000 0.000
```

Values from the calculation:
**DOS(E_F)**: 0.692 states/eV per atom

=====

#B
The following is a GGA-PBE calculation of an optimized crystal structure of YAg3Pt, from Alexandria via LeMat-Bulk.

Geometry as POSCAR:
```
YAg3Pt
1.0
-4.630 -0.695 2.370
0.279 -5.150 -0.966
2.454 -0.727 4.581
Ag Pt Y
3 1 1
Direct
0.000 0.000 0.500
0.000 0.500 0.000
0.500 0.000 0.000
0.500 0.500 0.500
0.000 0.000 0.000
```

Values from the calculation:
**DOS(E_F)**: 1.121 states/eV per atom

=====

Which of them is most stable? Easy: #A.

=====

#A
The following is a GGA-PBE calculation of an optimized crystal structure of YAgPt3, from Alexandria via LeMat-Bulk.

Geometry as POSCAR:
```
YAgPt3
1.0
-0.093 4.767 1.051
-3.882 0.566 -2.908
-2.961 -0.891 3.779
Ag Pt Y
1 3 1
Direct
0.000 0.000 0.000
0.000 0.000 0.500
0.000 0.500 0.000
0.500 0.000 0.000
0.500 0.500 0.500
```

Values from the calculation:
**DOS(E_F)**: 0.414 states/eV per atom

=====

#B
The following is a GGA-PBE calculation of an optimized crystal structure of YAgPt3, from Alexandria via LeMat-Bulk.

Geometry as POSCAR:
```
YAgPt3
1.0
5.104 0.000 0.000
0.000 5.104 0.000
0.000 0.000 5.104
Y Pt Ag
1 3 1
Direct
0.000 0.000 0.000
0.000 0.500 0.000
0.500 0.000 0.000
0.000 0.000 0.500
0.500 0.500 0.500
```

Values from the calculation:
**DOS(E_F)**: 0.575 states/eV per atom

=====

Which of them is most stable? Easy: #A.

=====

#A
The following is a GGA-PBE calculation of an optimized crystal structure of Y4AgPt2, from Alexandria via LeMat-Bulk.

Geometry as POSCAR:
```
Y4AgPt2
1.0
6.989 -0.690 -0.144
-1.192 6.995 0.139
-2.760 -3.273 7.281
Ag Pt Y
2 4 8
Direct
0.980 0.032 0.014
0.217 0.768 0.486
0.807 0.879 0.438
0.149 0.529 0.944
0.619 0.190 0.062
0.455 0.335 0.556
0.989 0.249 0.379
0.860 0.620 0.121
0.885 0.650 0.680
0.456 0.720 0.820
0.729 0.149 0.720
0.425 0.479 0.258
0.260 0.179 0.780
0.418 0.971 0.242
```

Values from the calculation:
**DOS(E_F)**: 0.876 states/eV per atom

=====

#B
The following is a GGA-PBE calculation of an optimized crystal structure of Y4AgPt2, from Alexandria via LeMat-Bulk.

Geometry as POSCAR:
```
Y4AgPt2
1.0
4.747 0.000 1.483
2.142 4.236 1.483
-0.063 -0.038 8.538
Y Ag Pt
4 1 2
Direct
0.128 0.128 0.616
0.379 0.379 0.864
0.872 0.872 0.384
0.621 0.621 0.136
0.000 0.000 0.000
0.751 0.751 0.748
0.249 0.249 0.252
```

Values from the calculation:
**DOS(E_F)**: 0.622 states/eV per atom

=====

Which of them is most stable? Easy: #A.

=====

#A
The following is a GGA-PBE calculation of an optimized crystal structure of Y3AgPt, from Alexandria via LeMat-Bulk.

Geometry as POSCAR:
```
Y3AgPt
1.0
5.425 0.000 0.000
0.000 5.425 0.000
0.000 0.000 5.425
Ag Y Pt
1 3 1
Direct
0.500 0.500 0.500
0.500 0.000 0.000
0.000 0.000 0.500
0.000 0.500 0.000
0.000 0.000 0.000
```

Values from the calculation:
**DOS(E_F)**: 1.611 states/eV per atom

=====

#B
The following is a GGA-PBE calculation of an optimized crystal structure of Y3AgPt, from Alexandria via LeMat-Bulk.

Geometry as POSCAR:
```
Y3AgPt
1.0
5.566 -0.124 0.425
-2.941 5.934 -0.711
0.703 -3.033 8.218
Y Pt Ag
6 2 2
Direct
0.489 0.802 0.117
0.845 0.787 0.739
0.868 0.617 0.310
0.132 0.383 0.690
0.155 0.213 0.261
0.511 0.198 0.883
0.966 0.711 0.006
0.034 0.289 0.994
0.584 0.225 0.483
0.416 0.775 0.517
```

Values from the calculation:
**DOS(E_F)**: 0.867 states/eV per atom

=====

Which of them is most stable? Easy: #B.

=====

#A
The following is a GGA-PBE calculation of an optimized crystal structure of Zn6Ag3Pt, from Alexandria via LeMat-Bulk.

Geometry as POSCAR:
```
Zn6Ag3Pt
1.0
7.790 0.000 1.439
0.000 6.847 0.000
1.765 0.000 6.584
Zn Ag Pt
12 6 2
Direct
0.095 0.285 0.200
0.405 0.785 0.300
0.760 0.729 0.229
0.670 0.004 0.987
0.260 0.771 0.729
0.740 0.229 0.271
0.240 0.271 0.771
0.905 0.715 0.800
0.330 0.996 0.013
0.170 0.496 0.487
0.830 0.504 0.513
0.595 0.215 0.700
0.000 0.000 0.500
0.621 0.828 0.664
0.121 0.672 0.164
0.879 0.328 0.836
0.379 0.172 0.336
0.500 0.500 0.000
0.000 0.000 0.000
0.500 0.500 0.500
```

Values from the calculation:
**DOS(E_F)**: 0.378 states/eV per atom

=====

#B
The following is a GGA-PBE calculation of an optimized crystal structure of Zn6Ag3Pt, from Alexandria via LeMat-Bulk.

Geometry as POSCAR:
```
Zn6Ag3Pt
1.0
-1.506 3.064 -2.950
-6.953 -2.636 0.813
2.099 7.325 6.536
Zn Ag Pt
12 6 2
Direct
0.750 0.538 0.929
0.750 0.319 0.322
0.250 0.246 0.472
0.750 0.941 0.141
0.750 0.835 0.837
0.250 0.462 0.071
0.250 0.681 0.678
0.250 0.165 0.163
0.250 0.869 0.287
0.250 0.059 0.859
0.750 0.754 0.528
0.750 0.131 0.713
0.250 0.775 0.984
0.750 0.453 0.621
0.750 0.630 0.227
0.750 0.225 0.016
0.250 0.370 0.773
0.250 0.547 0.379
0.250 0.961 0.577
0.750 0.039 0.423
```

Values from the calculation:
**DOS(E_F)**: 0.292 states/eV per atom

=====

Which of them is most stable? Easy: #B.

=====

#A
The following is a GGA-PBE calculation of an optimized crystal structure of ZnAgPt, from Alexandria via LeMat-Bulk.

Geometry as POSCAR:
```
ZnAgPt
1.0
5.694 -0.117 0.125
4.970 2.782 0.125
0.725 0.182 2.894
Ag Zn Pt
1 1 1
Direct
0.006 0.006 0.994
0.675 0.675 0.325
0.319 0.319 0.681
```

Values from the calculation:
**DOS(E_F)**: 0.216 states/eV per atom

=====

#B
The following is a GGA-PBE calculation of an optimized crystal structure of ZnAgPt, from Alexandria via LeMat-Bulk.

Geometry as POSCAR:
```
ZnAgPt
1.0
2.868 0.000 0.000
-1.434 2.485 0.000
0.000 0.000 13.394
Ag Pt Zn
2 2 2
Direct
0.279 0.557 0.500
0.610 0.221 0.000
0.611 0.222 0.679
0.611 0.222 0.321
0.278 0.555 0.832
0.278 0.555 0.168
```

Values from the calculation:
**DOS(E_F)**: 0.526 states/eV per atom

=====

Which of them is most stable? Easy: #A.

=====

#A
The following is a GGA-PBE calculation of an optimized crystal structure of Zn5Ag4Pt, from Alexandria via LeMat-Bulk.

Geometry as POSCAR:
```
Zn5Ag4Pt
1.0
2.898 0.000 0.000
0.000 2.898 0.000
0.000 0.000 18.908
Zn Ag Pt
5 4 1
Direct
0.500 0.500 0.500
0.500 0.500 0.297
0.500 0.500 0.703
0.500 0.500 0.092
0.500 0.500 0.908
0.000 0.000 0.602
0.000 0.000 0.196
0.000 0.000 0.804
0.000 0.000 0.398
0.000 0.000 0.000
```

Values from the calculation:
**DOS(E_F)**: 0.213 states/eV per atom

=====

#B
The following is a GGA-PBE calculation of an optimized crystal structure of Zn5Ag4Pt, from Alexandria via LeMat-Bulk.

Geometry as POSCAR:
```
Zn5Ag4Pt
1.0
-4.706 1.756 -1.062
-4.567 -4.317 0.689
-3.010 2.455 4.988
Zn Pt Ag
5 1 4
Direct
0.081 0.636 0.115
0.716 0.115 0.364
0.831 0.364 0.885
0.676 0.000 0.000
0.196 0.885 0.636
0.199 0.000 0.000
0.398 0.385 0.724
0.783 0.724 0.615
0.508 0.615 0.276
0.123 0.276 0.385
```

Values from the calculation:
**DOS(E_F)**: 0.370 states/eV per atom

=====

Which of them is most stable? Easy: #A.

=====

#A
The following is a GGA-PBE calculation of an optimized crystal structure of ZnAg2Pt2, from Alexandria via LeMat-Bulk.

Geometry as POSCAR:
```
ZnAg2Pt2
1.0
-5.149 2.232 5.495
-5.321 -4.955 -2.973
0.965 -2.088 1.753
Pt Zn Ag
4 2 4
Direct
0.328 0.172 0.500
0.828 0.328 0.500
0.672 0.828 0.500
0.172 0.672 0.500
0.000 0.000 0.000
0.500 0.500 0.000
0.126 0.374 0.000
0.626 0.126 0.000
0.374 0.874 0.000
0.874 0.626 0.000
```

Values from the calculation:
**DOS(E_F)**: 0.775 states/eV per atom

=====

#B
The following is a GGA-PBE calculation of an optimized crystal structure of ZnAg2Pt2, from Alexandria via LeMat-Bulk.

Geometry as POSCAR:
```
ZnAg2Pt2
1.0
-3.433 4.655 2.877
0.630 -3.037 5.667
3.580 2.168 0.764
Pt Zn Ag
4 2 4
Direct
0.858 0.642 0.000
0.142 0.358 0.000
0.642 0.142 0.000
0.358 0.858 0.000
0.000 0.000 0.000
0.500 0.500 0.000
0.664 0.836 0.500
0.164 0.664 0.500
0.836 0.336 0.500
0.336 0.164 0.500
```

Values from the calculation:
**DOS(E_F)**: 0.259 states/eV per atom

=====

Which of them is most stable? Easy: #B.

=====

#A
The following is a GGA-PBE calculation of an optimized crystal structure of ZrAg2Pt, from Alexandria via LeMat-Bulk.

Geometry as POSCAR:
```
ZrAg2Pt
1.0
-1.431 -4.771 0.099
1.224 -1.639 4.543
-2.596 4.036 -1.294
Ag Zr Pt
2 1 1
Direct
0.000 0.000 0.000
0.750 0.250 0.500
0.250 0.750 0.500
0.500 0.500 0.000
```

Values from the calculation:
**DOS(E_F)**: 0.582 states/eV per atom

=====

#B
The following is a GGA-PBE calculation of an optimized crystal structure of ZrAg2Pt, from Alexandria via LeMat-Bulk.

Geometry as POSCAR:
```
ZrAg2Pt
1.0
4.688 0.000 0.000
2.344 4.060 0.000
2.344 1.353 3.828
Zr Ag Pt
1 2 1
Direct
0.250 0.250 0.250
0.750 0.750 0.750
0.000 0.000 0.000
0.500 0.500 0.500
```

Values from the calculation:
**DOS(E_F)**: 0.890 states/eV per atom

=====

#C
The following is a GGA-PBE calculation of an optimized crystal structure of ZrAg2Pt, from Alexandria via LeMat-Bulk.

Geometry as POSCAR:
```
ZrAg2Pt
1.0
3.893 0.000 0.000
0.000 3.893 0.000
0.000 0.000 4.899
Zr Ag Pt
1 2 1
Direct
0.000 0.500 0.500
0.000 0.000 0.000
0.500 0.500 0.000
0.500 0.000 0.500
```

Values from the calculation:
**DOS(E_F)**: 0.805 states/eV per atom

=====

#D
The following is a GGA-PBE calculation of an optimized crystal structure of ZrAg2Pt, from Alexandria via LeMat-Bulk.

Geometry as POSCAR:
```
ZrAg2Pt
1.0
-2.196 3.183 -3.660
-3.255 -2.589 3.323
0.128 2.231 1.864
Zr Pt Ag
1 1 2
Direct
0.000 0.500 0.500
0.500 0.000 0.500
0.500 0.500 0.000
0.000 0.000 0.000
```

Values from the calculation:
**DOS(E_F)**: 0.357 states/eV per atom

=====

Which of them is most stable? Easy: #A.

=====

#A
The following is a GGA-PBE calculation of an optimized crystal structure of Zr4AgPt, from Alexandria via LeMat-Bulk.

Geometry as POSCAR:
```
Zr4AgPt
1.0
-4.067 -1.997 -3.310
-5.088 2.367 0.067
-1.758 2.999 -4.405
Zr Ag Pt
4 1 1
Direct
0.374 0.374 0.374
0.374 0.374 0.877
0.374 0.877 0.374
0.877 0.374 0.374
0.750 0.750 0.750
0.000 0.000 0.000
```

Values from the calculation:
**DOS(E_F)**: 0.957 states/eV per atom

=====

#B
The following is a GGA-PBE calculation of an optimized crystal structure of Zr4AgPt, from Alexandria via LeMat-Bulk.

Geometry as POSCAR:
```
Zr4AgPt
1.0
6.537 0.000 0.000
0.000 6.396 1.348
0.000 -1.371 6.491
Zr Ag Pt
8 2 2
Direct
0.250 0.750 0.242
0.250 0.250 0.242
0.750 0.750 0.242
0.750 0.250 0.242
0.250 0.250 0.758
0.750 0.250 0.758
0.250 0.750 0.758
0.750 0.750 0.758
0.000 0.500 0.500
0.500 0.000 0.500
0.500 0.500 0.000
0.000 0.000 0.000
```

Values from the calculation:
**DOS(E_F)**: 1.051 states/eV per atom

=====

Which of them is most stable? Easy: #B.